Density functional theory data (PBE-GGA) for an optimized crystal structure of GaPN2F.

## Properties
The value obtained for the formation energy without anion corrections is 0.7533 eV per atom. For the polymorph energy (0 for the lowest one), the calculation gives 628 meV/atom.

a b c (Å): 3.9254 3.9254 3.7442
angles (deg): 90.00 90.00 90.00
Sites, in units of the cell vectors:
Ga: 0.0000 0.0000 0.0000
P: 0.5000 0.5000 0.5000
N: 0.0000 0.5000 0.0000
N: 0.5000 0.0000 0.0000
F: 0.0000 0.0000 0.5000

***

Density functional theory data (PBE-GGA) for an optimized crystal structure of Ce2NdNi.

## Properties
For the polymorph energy (0 for the lowest one), the calculation gives 198 meV/atom. As for the formation energy: 0.127 eV/atom.

a b c (Å): 10.3200 10.3200 10.3200
angles (deg): 19.94 19.94 19.94
Sites, in units of the cell vectors:
Ce: 0.1074 0.1074 0.1074
Ce: 0.8926 0.8926 0.8926
Nd: 0.0000 0.0000 0.0000
Ni: 0.5000 0.5000 0.5000

***

Density functional theory data (PBE-GGA) for an optimized crystal structure of KSrScTe2.

## Properties
The value obtained for the formation energy without anion corrections is 0.3172 eV per atom. For the polymorph energy (0 for the lowest one), the calculation gives 292 meV/atom.

a b c (Å): 6.0324 6.0324 5.4430
angles (deg): 90.00 90.00 90.00
Sites, in units of the cell vectors:
K: 0.0000 0.0000 0.0000
Sr: 0.0000 0.0000 0.5000
Sc: 0.5000 0.5000 0.5000
Te: 0.0000 0.5000 0.0000
Te: 0.5000 0.0000 0.0000

***

Density functional theory data (PBE-GGA) for an optimized crystal structure of LiEr6Pt5.

## Properties
As for the formation energy: -1.098 eV/atom.

a b c (Å): 8.5439 8.5439 8.5439
angles (deg): 146.88 131.69 59.83
Sites, in units of the cell vectors:
Li: 0.0000 0.0000 0.0000
Er: 0.0861 0.8305 0.2556
Er: 0.2613 0.5000 0.7613
Er: 0.4251 0.1695 0.2556
Er: 0.5749 0.8305 0.7444
Er: 0.7387 0.5000 0.2387
Er: 0.9139 0.1695 0.7444
Pt: 0.1512 0.6512 0.5000
Pt: 0.3249 0.3249 0.0000
Pt: 0.5000 0.0000 0.5000
Pt: 0.6751 0.6751 0.0000
Pt: 0.8488 0.3488 0.5000

***

Density functional theory data (PBE-GGA) for an optimized crystal structure of KI5O11.

## Properties
The value obtained for the formation energy without anion corrections is -0.2181 eV per atom.

a b c (Å): 6.7195 6.7195 8.9449
angles (deg): 99.06 99.06 105.00
Sites, in units of the cell vectors:
K: 0.0000 0.0000 0.0000
I: 0.0448 0.3525 0.6471
I: 0.3525 0.0448 0.6471
I: 0.5000 0.5000 0.0000
I: 0.6475 0.9552 0.3529
I: 0.9552 0.6475 0.3529
O: 0.0000 0.0000 0.5000
O: 0.0942 0.3504 0.8539
O: 0.1293 0.6369 0.6505
O: 0.3335 0.3335 0.6267
O: 0.3504 0.0942 0.8539
O: 0.3631 0.8707 0.3495
O: 0.6369 0.1293 0.6505
O: 0.6496 0.9058 0.1461
O: 0.6665 0.6665 0.3733
O: 0.8707 0.3631 0.3495
O: 0.9058 0.6496 0.1461

***

Density functional theory data (PBE-GGA) for an optimized crystal structure of Tl3NiCl6.

## Properties
The value obtained for the formation energy without anion corrections is -0.7846 eV per atom. For the polymorph energy (0 for the lowest one), the calculation gives 17 meV/atom.

a b c (Å): 8.5482 8.5482 8.5482
angles (deg): 93.14 93.14 93.14
Sites, in units of the cell vectors:
Tl: 0.0630 0.5712 0.7546
Tl: 0.2454 0.9370 0.4288
Tl: 0.4288 0.2454 0.9370
Tl: 0.5712 0.7546 0.0630
Tl: 0.7546 0.0630 0.5712
Tl: 0.9370 0.4288 0.2454
Ni: 0.0000 0.0000 0.0000
Ni: 0.5000 0.5000 0.5000
Cl: 0.0459 0.9261 0.7339
Cl: 0.0739 0.2661 0.9541
Cl: 0.2456 0.5503 0.4191
Cl: 0.2661 0.9541 0.0739
Cl: 0.4191 0.2456 0.5503
Cl: 0.4498 0.5809 0.7544
Cl: 0.5503 0.4191 0.2456
Cl: 0.5809 0.7544 0.4498
Cl: 0.7339 0.0459 0.9261
Cl: 0.7544 0.4498 0.5809
Cl: 0.9261 0.7339 0.0459
Cl: 0.9541 0.0739 0.2661

***

For reference, E_tot by record: -4.64; -5.48; -2.76; -6.06; -3.95; -3.18 eV per atom.
For reference, total magnetic moment by record: 0.00; 1.91; 1.76; 0.00; 0.00; 1.91 Bohr magnetons per cell.